Ca2AgCl (PBEsol, relaxed); formation energy without anion corrections = -826 meV/atom; excess energy over the best structure of this formula in the dataset = 0.0873 eV/atom
1.0
3.745 0.000 0.000
0.000 4.581 0.000
-1.872 0.000 6.092
Ca Ag Cl
2 1 1
Direct
0.268 0.500 0.536
0.005 0.000 0.010
0.732 0.000 0.464
0.494 0.500 0.989

---

CaAgCl2 (PBEsol, relaxed); formation energy without anion corrections = -1091 meV/atom; excess energy over the best structure of this formula in the dataset = 0.0000 eV/atom
1.0
-3.880 0.745 -2.916
-2.507 -3.831 -1.776
-4.528 -0.948 1.648
Ag Cl Ca
1 2 1
Direct
0.000 0.000 0.000
0.750 0.750 0.750
0.250 0.250 0.250
0.500 0.500 0.500

---

CaAg2Cl2 (PBEsol, relaxed); formation energy without anion corrections = -907 meV/atom
1.0
-0.315 2.909 2.131
1.364 -1.884 2.774
8.407 2.282 -4.945
Cl Ag Ca
2 2 1
Direct
0.578 0.578 0.156
0.422 0.422 0.844
0.250 0.750 0.500
0.750 0.250 0.500
0.000 0.000 0.000